Below is a PBEsol-optimized structure of SnPbSe2, with properties calculated at the meta-GGA SCAN level.

```
SnPbSe2
1.0
-5.159 -0.340 0.148
-2.324 -2.342 3.983
-2.678 2.789 3.435
Pb Sn Se
1 1 2
direct
0.500 0.500 0.500 Pb
0.000 0.000 0.000 Sn
0.250 0.250 0.250 Se
0.750 0.750 0.750 Se
```

- formation energy without anion corrections (meV/atom) = -164
- symmetry = No. 225
- calculated density (g/cm3) = 8.21
- polymorph energy (0 for the lowest one) (meV per atom) = 292
- volume (Å³ per atom) = 24.45
- calculated total energy (eV per atom) = -38.128